Record 1
The following is a PBE-GGA calculation of a geometry-optimized MnAsSe2N structure, from the Alexandria database.

Cell: 4.4977 4.4977 4.6262 Å, 90.00 90.00 90.00°
With the nearest neighbours (Å) after each atom.
Positions (direct):
Mn  0.0000  0.0000  0.0000  4 Se 2.25, 2 As 2.31
As  0.0000  0.0000  0.5000  2 Mn 2.31
Se  0.0000  0.5000  0.0000  2 Mn 2.25
Se  0.5000  0.0000  0.0000  2 Mn 2.25
N  0.5000  0.5000  0.5000  4 As 3.18, 8 Se 3.23

DOS at the Fermi energy   0.93 states/eV/atom
ΔE_f (raw)   1.407 eV per atom
Spin magnetization   0.0 μB per cell
Offset from the most stable computed form   1109 meV/atom



Record 2
The following is a PBE-GGA calculation of a geometry-optimized Tm6TlIn2 structure, from the Alexandria database.

Cell: 8.8548 8.8548 8.8548 Å, 146.45 131.81 60.00°
With the nearest neighbours (Å) after each atom.
Positions (direct):
Tm  0.0825  0.3329  0.7495  3 In 3.13, 1 Tl 3.14
Tm  0.2492  0.0000  0.2492  2 In 3.13, 2 Tl 3.13
Tm  0.4166  0.6671  0.7495  3 In 3.13, 1 Tl 3.14
Tm  0.5834  0.3329  0.2505  3 In 3.13, 1 Tl 3.14
Tm  0.7508  0.0000  0.7508  2 In 3.13, 2 Tl 3.13
Tm  0.9175  0.6671  0.2505  3 In 3.13, 1 Tl 3.14
Tl  0.5000  0.5000  0.0000  8 Tm 3.13-3.14
In  0.1665  0.1665  0.0000  8 Tm 3.13
In  0.8335  0.8335  0.0000  8 Tm 3.13

DOS at the Fermi energy   1.14 states/eV/atom
DFT formation energy   -0.0626 eV/atom
Spin magnetization   0.0 μB per cell



Record 3
The following is a PBE-GGA calculation of a geometry-optimized NdSm5Al structure, from the Alexandria database.

Cell: 7.6811 7.6811 7.6811 Å, 117.80 81.27 133.27°
With the nearest neighbours (Å) after each atom.
Positions (direct):
Nd  0.0000  0.0000  0.0000  6 Sm 3.17-3.47
Sm  0.1939  0.6939  0.5000  1 Al 2.84
Sm  0.4379  0.1839  0.2541  1 Al 2.88, 1 Nd 3.17
Sm  0.5177  0.3355  0.8178  1 Al 2.83, 1 Sm 2.89
Sm  0.5177  0.7000  0.1822  1 Al 2.83, 1 Sm 2.89
Sm  0.9298  0.1839  0.7459  1 Al 2.88, 1 Nd 3.17
Al  0.7285  0.2285  0.5000  5 Sm 2.83-2.88

DOS at the Fermi energy   1.53 states/eV/atom
DFT formation energy   0.6532 eV/atom
Spin magnetization   0.0 μB per cell



Record 4
The following is a PBE-GGA calculation of a geometry-optimized TbAlAu11 structure, from the Alexandria database.

Cell: 7.2771 7.2771 7.1625 Å, 97.71 97.71 135.29°
With the nearest neighbours (Å) after each atom.
Positions (direct):
Tb  0.0000  0.0000  0.0000  14 Au 3.25-3.58
Al  0.5000  0.5000  0.5000  10 Au 2.64-2.87
Au  0.0000  0.0000  0.5000  2 Al 2.77, 8 Au 2.81-2.84
Au  0.0000  0.5000  0.0000  10 Au 2.77-2.96
Au  0.0020  0.3380  0.3475  6 Au 2.81-3.06, 1 Al 2.87
Au  0.3122  0.5199  0.7831  1 Al 2.64, 6 Au 2.77-2.91
Au  0.3380  0.0020  0.3475  6 Au 2.81-3.06, 1 Al 2.87
Au  0.4801  0.6878  0.2169  1 Al 2.64, 6 Au 2.77-2.91
Au  0.5000  0.0000  0.0000  10 Au 2.77-2.96
Au  0.5199  0.3122  0.7831  1 Al 2.64, 6 Au 2.77-2.91
Au  0.6620  0.9980  0.6525  6 Au 2.81-3.06, 1 Al 2.87
Au  0.6878  0.4801  0.2169  1 Al 2.64, 6 Au 2.77-2.91
Au  0.9980  0.6620  0.6525  6 Au 2.81-3.06, 1 Al 2.87

DOS at the Fermi energy   0.32 states/eV/atom
DFT formation energy   -0.2568 eV/atom
Spin magnetization   0.0 μB per cell